(i)
The following is a PBE calculation of a relaxed Na3CuPCO7 crystal, from Alexandria via LeMat-Bulk.

```
Na3CuPCO7
1.0
6.3549 0.0000 0.0000
0.0000 5.4523 0.1024
0.0000 0.5112 9.2290
Na Cu P C O
6 2 2 2 14
Direct
0.5315 0.9843 0.0136
0.8584 0.5708 0.2002
0.4615 0.5575 0.4394
0.9615 0.4425 0.5606
0.3584 0.4292 0.7998
0.0315 0.0157 0.9864
0.2563 0.0827 0.2933
0.7563 0.9173 0.7067
0.7517 0.0378 0.3569
0.2517 0.9622 0.6431
0.2666 0.4777 0.1125
0.7666 0.5223 0.8875
0.2847 0.6449 0.0088
0.2831 0.2429 0.0843
0.9463 0.9845 0.2592
0.5551 0.9474 0.2718
0.2269 0.5199 0.2450
0.7392 0.3109 0.3853
0.7640 0.8685 0.5011
0.2640 0.1315 0.4989
0.2392 0.6891 0.6147
0.7269 0.4801 0.7550
0.0551 0.0526 0.7282
0.4463 0.0155 0.7408
0.7831 0.7571 0.9157
0.7847 0.3551 0.9912
```

N(E_F): 1.53 states/eV/cell
Crystal system: monoclinic
M_tot: 1.02 μB per formula unit
Symmetry: P2_1

(ii)
The following is a PBE calculation of a relaxed Na3CuPCO7 crystal, from Alexandria via LeMat-Bulk.

```
Na3CuPCO7
1.0
-3.9090 -5.1480 -0.9875
3.8149 -3.2129 1.6478
-2.8766 0.5271 8.6396
Na Cu P C O
6 2 2 2 14
Direct
0.4998 0.2423 0.2638
0.9998 0.7577 0.7362
0.5002 0.7577 0.7362
0.0002 0.2423 0.2638
0.7500 0.2171 0.9091
0.2500 0.7829 0.0909
0.2500 0.2350 0.6435
0.7500 0.7650 0.3565
0.7500 0.3155 0.5794
0.2500 0.6845 0.4206
0.2500 0.2899 0.9426
0.7500 0.7101 0.0574
0.2500 0.0988 0.8525
0.7500 0.9012 0.1475
0.2500 0.5213 0.8922
0.7500 0.4787 0.1078
0.2500 0.2349 0.0823
0.7500 0.7651 0.9177
0.9385 0.2414 0.6782
0.4385 0.7586 0.3218
0.0615 0.7586 0.3218
0.5615 0.2414 0.6782
0.7500 0.1855 0.4321
0.2500 0.8145 0.5679
0.2500 0.3858 0.4442
0.7500 0.6142 0.5558
```

N(E_F): 1.24 states/eV/cell
Crystal system: monoclinic
M_tot: 0.99 μB per formula unit
Symmetry: P2_1/m

The most stable of them is (ii).